The following is a DFT calculation (PBE) of a geometry-optimized CrPdS structure.

Output
DOS(E_F)   0.6968 states/eV/atom
Energy relative to the elements, uncorrected   -0.13 eV per atom
Raw total energy   -6.44 eV/atom

Unit cell a=10.372 b=6.043 c=4.331 alpha=90.00 beta=90.00 gamma=90.00
Space group Pmn2_1 (No. 31)
Unique sites:
1 Cr 0.000 0.122 0.000 [2 per cell]
2 Cr 0.175 0.519 0.021 [4 per cell]
3 Pd 0.000 0.414 0.482 [2 per cell]
4 Pd 0.138 0.828 0.532 [4 per cell]
5 S 0.000 0.740 0.001 [2 per cell]
6 S 0.184 0.221 0.691 [4 per cell]